# TbNpHgO6, relaxed, DFT GGA-PBE
data_TbNpHgO6
_symmetry_space_group_name_H-M 'P 42 n m'
_symmetry_Int_Tables_number 102
_cell_length_a 5.158
_cell_length_b 5.158
_cell_length_c 10.378
_cell_angle_alpha 90.00
_cell_angle_beta 90.00
_cell_angle_gamma 90.00
loop_
_symmetry_equiv_pos_as_xyz
'x,y,z'
'-y+1/2,x+1/2,z+1/2'
'-x,-y,z'
'y+1/2,-x+1/2,z+1/2'
'-x+1/2,y+1/2,z+1/2'
'y,x,z'
'x+1/2,-y+1/2,z+1/2'
'-y,-x,z'
loop_
_atom_site_label
_atom_site_type_symbol
_atom_site_fract_x
_atom_site_fract_y
_atom_site_fract_z
_atom_site_occupancy
Tb1 Tb 0.000 0.000 0.000 1
Np1 Np 0.000 0.000 0.664 1
Hg1 Hg 0.000 0.000 0.330 1
O1 O 0.179 0.179 0.817 1
O2 O 0.193 0.193 0.522 1
O3 O 0.224 0.224 0.157 1
# V = 276 Å³ per cell
# uncorrected energy = -7.58 eV per atom
# uncorrected formation energy = -2287.4 meV/atom


# NpInPb2Br8, relaxed, DFT GGA-PBE
data_NpInPb2Br8
_symmetry_space_group_name_H-M 'P 1 2/m 1'
_symmetry_Int_Tables_number 10
_cell_length_a 6.988
_cell_length_b 9.257
_cell_length_c 7.242
_cell_angle_alpha 90.00
_cell_angle_beta 90.72
_cell_angle_gamma 90.00
loop_
_symmetry_equiv_pos_as_xyz
'x,y,z'
'-x,-y,-z'
'-x,y,-z'
'x,-y,z'
loop_
_atom_site_label
_atom_site_type_symbol
_atom_site_fract_x
_atom_site_fract_y
_atom_site_fract_z
_atom_site_occupancy
Np1 Np 0.000 0.000 0.000 1
In1 In 0.000 0.500 0.000 1
Pb1 Pb 0.500 0.254 0.500 1
Br1 Br 0.241 0.223 0.156 1
Br2 Br 0.247 0.000 0.677 1
Br3 Br 0.270 0.500 0.640 1
# V = 468 Å³ per cell
# N(E_F) = 0.396 states/eV/atom
# uncorrected energy = -4.03 eV per atom
# uncorrected formation energy = -991.3 meV/atom


# LiMoIr3, relaxed, DFT GGA-PBE
data_LiMoIr3
_symmetry_space_group_name_H-M 'P m -3 m'
_symmetry_Int_Tables_number 221
_symmetry_space_group_name_Hall '-P 4 2 3'
_cell_length_a 4.743
_cell_length_b 4.743
_cell_length_c 4.743
_cell_angle_alpha 90.00
_cell_angle_beta 90.00
_cell_angle_gamma 90.00
loop_
_atom_site_label
_atom_site_type_symbol
_atom_site_fract_x
_atom_site_fract_y
_atom_site_fract_z
_atom_site_occupancy
Li1 Li 0.000 0.000 0.000 1
Mo1 Mo 0.500 0.500 0.500 1
Ir1 Ir 0.000 0.500 0.500 1
# V = 107 Å³ per cell
# N(E_F) = 0.507 states/eV/atom
# uncorrected energy = -6.58 eV per atom
# energy relative to the elements = 1287 meV/atom


# Sr3HfAl2O9, relaxed, DFT GGA-PBE
data_Sr3HfAl2O9
_symmetry_space_group_name_H-M 'P -3 m 1'
_symmetry_Int_Tables_number 164
_symmetry_space_group_name_Hall '-P 3 2"'
_cell_length_a 5.5604
_cell_length_b 5.5604
_cell_length_c 6.8381
_cell_angle_alpha 90.00
_cell_angle_beta 90.00
_cell_angle_gamma 120.00
loop_
_atom_site_label
_atom_site_type_symbol
_atom_site_fract_x
_atom_site_fract_y
_atom_site_fract_z
_atom_site_occupancy
Sr1 Sr 0.0000 0.0000 0.0000 1
Sr2 Sr 0.3333 0.6667 0.6777 1
Hf1 Hf 0.0000 0.0000 0.5000 1
Al1 Al 0.3333 0.6667 0.1613 1
O1 O 0.0000 0.5000 0.0000 1
O2 O 0.1731 0.3462 0.3227 1
# V = 183 Å³ per cell
# N(E_F) = 0.552 states/eV/atom
# uncorrected energy = -7.33 eV per atom
# uncorrected formation energy = -2860.9 meV/atom


# La3MgO, relaxed, DFT GGA-PBE
data_La3MgO
_symmetry_space_group_name_H-M 'I m m a'
_symmetry_Int_Tables_number 74
_symmetry_space_group_name_Hall '-I 2b 2'
_cell_length_a 5.893
_cell_length_b 14.943
_cell_length_c 6.338
_cell_angle_alpha 90.00
_cell_angle_beta 90.00
_cell_angle_gamma 90.00
loop_
_atom_site_label
_atom_site_type_symbol
_atom_site_fract_x
_atom_site_fract_y
_atom_site_fract_z
_atom_site_occupancy
La1 La 0.000 0.131 0.065 1
La2 La 0.000 0.250 0.577 1
Mg1 Mg 0.000 0.000 0.500 1
O1 O 0.250 0.250 0.250 1
# V = 558 Å³ per cell
# N(E_F) = 0.689 states/eV/atom
# uncorrected energy = -5.29 eV per atom
# uncorrected formation energy = -1024.3 meV/atom


# Ca3Ce2ThAs6, relaxed, DFT GGA-PBE
data_Ca3Ce2ThAs6
_symmetry_space_group_name_H-M 'C 1 2/m 1'
_symmetry_Int_Tables_number 12
_cell_length_a 7.406
_cell_length_b 12.825
_cell_length_c 7.278
_cell_angle_alpha 90.00
_cell_angle_beta 109.82
_cell_angle_gamma 90.00
loop_
_symmetry_equiv_pos_as_xyz
'x,y,z'
'-x,-y,-z'
'-x,y,-z'
'x,-y,z'
'x+1/2,y+1/2,z'
'-x+1/2,-y+1/2,-z'
'-x+1/2,y+1/2,-z'
'x+1/2,-y+1/2,z'
loop_
_atom_site_label
_atom_site_type_symbol
_atom_site_fract_x
_atom_site_fract_y
_atom_site_fract_z
_atom_site_occupancy
Ca1 Ca 0.000 0.000 0.000 1
Ca2 Ca 0.000 0.334 0.000 1
Ce1 Ce 0.000 0.167 0.500 1
Th1 Th 0.000 0.500 0.500 1
As1 As 0.242 0.000 0.737 1
As2 As 0.247 0.332 0.736 1
# V = 650 Å³ per cell
# uncorrected energy = -5.75 eV per atom
# energy relative to the elements = -1319 meV/atom


# LiErThCr, relaxed, DFT GGA-PBE
data_LiErThCr
_symmetry_space_group_name_H-M 'F -4 3 m'
_symmetry_Int_Tables_number 216
_symmetry_space_group_name_Hall 'F -4 2 3'
_cell_length_a 7.182
_cell_length_b 7.182
_cell_length_c 7.182
_cell_angle_alpha 90.00
_cell_angle_beta 90.00
_cell_angle_gamma 90.00
loop_
_atom_site_label
_atom_site_type_symbol
_atom_site_fract_x
_atom_site_fract_y
_atom_site_fract_z
_atom_site_occupancy
Li1 Li 0.000 0.000 0.000 1
Er1 Er 0.250 0.250 0.250 1
Th1 Th 0.250 0.250 0.750 1
Cr1 Cr 0.000 0.000 0.500 1
# V = 370 Å³ per cell
# N(E_F) = 0.861 states/eV/atom
# uncorrected energy = -5.66 eV per atom
# energy relative to the elements = 216 meV/atom


# ScHgTe2, relaxed, DFT GGA-PBE
data_ScHgTe2
_symmetry_space_group_name_H-M 'R -3 m'
_symmetry_Int_Tables_number 166
_symmetry_space_group_name_Hall '-R 3 2"'
_cell_length_a 4.2581
_cell_length_b 4.2581
_cell_length_c 27.1205
_cell_angle_alpha 90.00
_cell_angle_beta 90.00
_cell_angle_gamma 120.00
loop_
_atom_site_label
_atom_site_type_symbol
_atom_site_fract_x
_atom_site_fract_y
_atom_site_fract_z
_atom_site_occupancy
Sc1 Sc 0.0000 0.0000 0.0000 1
Hg1 Hg 0.0000 0.0000 0.5000 1
Te1 Te 0.0000 0.0000 0.3917 1
# V = 426 Å³ per cell
# N(E_F) = 0.876 states/eV/atom
# uncorrected energy = -3.90 eV per atom
# uncorrected formation energy = -669.6 meV/atom


# Rb2NbPbO4, relaxed, DFT GGA-PBE
data_Rb2NbPbO4
_symmetry_space_group_name_H-M 'I -4'
_symmetry_Int_Tables_number 82
_cell_length_a 6.947
_cell_length_b 6.947
_cell_length_c 7.593
_cell_angle_alpha 90.00
_cell_angle_beta 90.00
_cell_angle_gamma 90.00
loop_
_symmetry_equiv_pos_as_xyz
'x,y,z'
'y,-x,-z'
'-x,-y,z'
'-y,x,-z'
'x+1/2,y+1/2,z+1/2'
'y+1/2,-x+1/2,-z+1/2'
'-x+1/2,-y+1/2,z+1/2'
'-y+1/2,x+1/2,-z+1/2'
loop_
_atom_site_label
_atom_site_type_symbol
_atom_site_fract_x
_atom_site_fract_y
_atom_site_fract_z
_atom_site_occupancy
Rb1 Rb 0.000 0.000 0.000 1
Rb2 Rb 0.000 0.500 0.250 1
Nb1 Nb 0.000 0.000 0.500 1
Pb1 Pb 0.000 0.500 0.750 1
O1 O 0.136 0.829 0.649 1
# V = 366 Å³ per cell
# N(E_F) = 0.099 states/eV/atom
# uncorrected energy = -6.25 eV per atom
# uncorrected formation energy = -1804.1 meV/atom


# Ti6AlSn, relaxed, DFT GGA-PBE
data_Ti6AlSn
_symmetry_space_group_name_H-M 'A m m 2'
_symmetry_Int_Tables_number 38
_cell_length_a 4.711
_cell_length_b 5.832
_cell_length_c 10.087
_cell_angle_alpha 90.00
_cell_angle_beta 90.00
_cell_angle_gamma 90.00
loop_
_symmetry_equiv_pos_as_xyz
'x,y,z'
'-x,-y,z'
'-x,y,z'
'x,-y,z'
'x,y+1/2,z+1/2'
'-x,-y+1/2,z+1/2'
'-x,y+1/2,z+1/2'
'x,-y+1/2,z+1/2'
loop_
_atom_site_label
_atom_site_type_symbol
_atom_site_fract_x
_atom_site_fract_y
_atom_site_fract_z
_atom_site_occupancy
Ti1 Ti 0.000 0.000 0.000 1
Ti2 Ti 0.000 0.247 0.752 1
Ti3 Ti 0.500 0.000 0.333 1
Ti4 Ti 0.500 0.248 0.085 1
Al1 Al 0.500 0.000 0.835 1
Sn1 Sn 0.000 0.000 0.501 1
# V = 277 Å³ per cell
# N(E_F) = 0.689 states/eV/atom
# uncorrected energy = -7.17 eV per atom
# energy relative to the elements = -278 meV/atom


# GdDyPtPb, relaxed, DFT GGA-PBE
data_GdDyPtPb
_symmetry_space_group_name_H-M 'F -4 3 m'
_symmetry_Int_Tables_number 216
_symmetry_space_group_name_Hall 'F -4 2 3'
_cell_length_a 7.366
_cell_length_b 7.366
_cell_length_c 7.366
_cell_angle_alpha 90.00
_cell_angle_beta 90.00
_cell_angle_gamma 90.00
loop_
_atom_site_label
_atom_site_type_symbol
_atom_site_fract_x
_atom_site_fract_y
_atom_site_fract_z
_atom_site_occupancy
Gd1 Gd 0.000 0.000 0.000 1
Dy1 Dy 0.000 0.000 0.500 1
Pt1 Pt 0.250 0.250 0.750 1
Pb1 Pb 0.250 0.250 0.250 1
# V = 400 Å³ per cell
# N(E_F) = 0.684 states/eV/atom
# uncorrected energy = -7.84 eV per atom
# energy relative to the elements = -735 meV/atom